1.
CSe2F: relaxed, GGA-PBE.

Values from the calculation:
Mass density ... 5.21 g/cm³
E above lowest polymorph ... 459 meV/atom
Energy relative to the elements, uncorrected ... 0.72 eV per atom
DOS at the Fermi energy ... 1.95 states/eV/f.u.
Crystal system ... trigonal
Calculated volume ... 15.04 Å³ per atom
Uncorrected energy ... -3.7957 eV per atom
M_tot ... 0.0 μB/f.u.

Cell lengths 7.4652, 7.4652, 7.4652 Å; angles 23.94, 23.94, 23.94 degrees
Atoms (fractional coordinates):
F (0.0000, 0.0000, 0.0000)
Se (0.1009, 0.1009, 0.1009)
C (0.5000, 0.5000, 0.5000)
Se (0.8991, 0.8991, 0.8991)

2.
Nd2Dy2YTh2: relaxed, GGA-PBE.

Values from the calculation:
Mass density ... 8.24 g/cm³
ΔE_f ... 0.19 eV/atom
DOS at the Fermi energy ... 11.10 states/eV/f.u.
Crystal system ... monoclinic
Calculated volume ... 33.58 Å³ per atom
Uncorrected energy ... -5.5321 eV per atom
M_tot ... 0.0 μB/f.u.

Cell lengths 3.4469, 12.2207, 11.9641 Å; angles 150.84, 90.00, 98.11 degrees
Atoms (fractional coordinates):
Dy (0.3476, 0.6952, 0.7635)
Nd (0.2945, 0.5890, 0.9506)
Dy (0.6524, 0.3048, 0.2365)
Th (0.4052, 0.8104, 0.5889)
Th (0.5948, 0.1896, 0.4111)
Nd (0.7055, 0.4110, 0.0494)
Y (0.0000, 0.0000, 0.5000)

3.
GaBi2Mo2: relaxed, GGA-PBE.

Values from the calculation:
Mass density ... 10.48 g/cm³
ΔE_f ... 0.48 eV/atom
E above lowest polymorph ... 0 meV/atom
DOS at the Fermi energy ... 5.39 states/eV/f.u.
Crystal system ... tetragonal
Calculated volume ... 21.53 Å³ per atom
Uncorrected energy ... -6.0131 eV per atom
M_tot ... 0.0 μB/f.u.

Cell lengths 6.8966, 6.8966, 4.5256 Å; angles 90.00, 90.00, 90.00 degrees
Atoms (fractional coordinates):
Bi (0.3286, 0.1714, 0.5000)
Mo (0.3731, 0.8731, 0.0000)
Bi (0.1714, 0.6714, 0.5000)
Mo (0.8731, 0.6269, 0.0000)
Bi (0.8286, 0.3286, 0.5000)
Bi (0.6714, 0.8286, 0.5000)
Mo (0.1269, 0.3731, 0.0000)
Mo (0.6269, 0.1269, 0.0000)
Ga (0.0000, 0.0000, 0.0000)
Ga (0.5000, 0.5000, 0.0000)

4.
Rb3H6W: relaxed, GGA-PBE.

Values from the calculation:
Mass density ... 4.06 g/cm³
Crystal system ... cubic
Calculated volume ... 18.25 Å³ per atom
Uncorrected energy ... -3.6169 eV per atom
M_tot ... 3.0 μB/f.u.

Cell lengths 6.3670, 6.3670, 6.3670 Å; angles 60.00, 60.00, 60.00 degrees
Each line ends with the local moment (μB).
Atoms (fractional coordinates):
H (0.2052, 0.7948, 0.7948)  -0.01
Rb (0.5000, 0.5000, 0.5000)  -0.01
H (0.7948, 0.7948, 0.2052)  -0.01
H (0.7948, 0.2052, 0.7948)  -0.01
H (0.2052, 0.2052, 0.7948)  -0.01
H (0.7948, 0.2052, 0.2052)  -0.01
W (0.0000, 0.0000, 0.0000)  2.12
Rb (0.7500, 0.7500, 0.7500)  0.02
Rb (0.2500, 0.2500, 0.2500)  0.02
H (0.2052, 0.7948, 0.2052)  -0.01